1.
# YMoH2Pd, relaxed, DFT PBE
data_YMoH2Pd
_symmetry_space_group_name_H-M 'P 1'
_symmetry_Int_Tables_number 1
_cell_length_a 3.9501
_cell_length_b 3.9501
_cell_length_c 4.9856
_cell_angle_alpha 90.00
_cell_angle_beta 90.00
_cell_angle_gamma 90.00
loop_
_symmetry_equiv_pos_as_xyz
'x,y,z'
loop_
_atom_site_label
_atom_site_type_symbol
_atom_site_fract_x
_atom_site_fract_y
_atom_site_fract_z
Y1 Y 0.0000 0.0000 0.0000
Mo1 Mo 0.5000 0.5000 0.0000
H1 H 0.0000 0.5000 0.5000
H2 H 0.5000 0.0000 0.5000
Pd1 Pd 0.5000 0.5000 0.5000
# Space group: P4/mmm, No. 123
# Calculated density, g/cm3: 6.260

2.
# Sc11Al9Co4, relaxed, DFT PBE
data_Sc11Al9Co4
_symmetry_space_group_name_H-M 'P 1'
_symmetry_Int_Tables_number 1
_cell_length_a 11.9222
_cell_length_b 11.9222
_cell_length_c 3.2891
_cell_angle_alpha 90.00
_cell_angle_beta 90.00
_cell_angle_gamma 112.53
loop_
_symmetry_equiv_pos_as_xyz
'x,y,z'
loop_
_atom_site_label
_atom_site_type_symbol
_atom_site_fract_x
_atom_site_fract_y
_atom_site_fract_z
Sc1 Sc 0.0000 0.0000 0.0000
Sc2 Sc 0.0738 0.4142 0.0000
Sc3 Sc 0.1615 0.8385 0.0000
Sc4 Sc 0.3102 0.3102 0.0000
Sc5 Sc 0.3735 0.6265 0.0000
Sc6 Sc 0.4142 0.0738 0.0000
Sc7 Sc 0.5858 0.9262 0.0000
Sc8 Sc 0.6265 0.3735 0.0000
Sc9 Sc 0.6898 0.6898 0.0000
Sc10 Sc 0.8385 0.1615 0.0000
Sc11 Sc 0.9262 0.5858 0.0000
Al1 Al 0.0794 0.2194 0.5000
Al2 Al 0.1625 0.6308 0.5000
Al3 Al 0.2194 0.0794 0.5000
Al4 Al 0.3692 0.8375 0.5000
Al5 Al 0.5000 0.5000 0.5000
Al6 Al 0.6308 0.1625 0.5000
Al7 Al 0.7806 0.9206 0.5000
Al8 Al 0.8375 0.3692 0.5000
Al9 Al 0.9206 0.7806 0.5000
Co1 Co 0.2445 0.4481 0.5000
Co2 Co 0.4481 0.2445 0.5000
Co3 Co 0.5519 0.7555 0.5000
Co4 Co 0.7555 0.5519 0.5000
# Space group: Cmmm, No. 65
# Formation enthalpy at 0 K, meV per atom: -498
# Calculated density, g/cm3: 3.742

3.
# Ac2HoAlPt6, relaxed, DFT PBE
data_Ac2HoAlPt6
_symmetry_space_group_name_H-M 'P 1'
_symmetry_Int_Tables_number 1
_cell_length_a 6.7928
_cell_length_b 6.7928
_cell_length_c 8.8635
_cell_angle_alpha 127.16
_cell_angle_beta 127.16
_cell_angle_gamma 49.27
loop_
_symmetry_equiv_pos_as_xyz
'x,y,z'
loop_
_atom_site_label
_atom_site_type_symbol
_atom_site_fract_x
_atom_site_fract_y
_atom_site_fract_z
Ac1 Ac 0.2396 0.2396 0.2853
Ac2 Ac 0.7604 0.7604 0.7147
Ho1 Ho 0.0000 0.0000 0.5000
Al1 Al 0.5000 0.5000 0.0000
Pt1 Pt 0.2507 0.7381 0.2321
Pt2 Pt 0.2526 0.2526 0.9029
Pt3 Pt 0.2619 0.7493 0.7679
Pt4 Pt 0.7381 0.2507 0.2321
Pt5 Pt 0.7474 0.7474 0.0971
Pt6 Pt 0.7493 0.2619 0.7679
# Space group: C2/m, No. 12
# Formation enthalpy at 0 K, meV per atom: -931
# Calculated density, g/cm3: 13.023

4.
# RbAl2Hg2, relaxed, DFT PBE
data_RbAl2Hg2
_symmetry_space_group_name_H-M 'P 1'
_symmetry_Int_Tables_number 1
_cell_length_a 9.1133
_cell_length_b 9.1133
_cell_length_c 3.0689
_cell_angle_alpha 90.00
_cell_angle_beta 90.00
_cell_angle_gamma 90.00
loop_
_symmetry_equiv_pos_as_xyz
'x,y,z'
loop_
_atom_site_label
_atom_site_type_symbol
_atom_site_fract_x
_atom_site_fract_y
_atom_site_fract_z
Rb1 Rb 0.0000 0.0000 0.0000
Rb2 Rb 0.5000 0.5000 0.0000
Al1 Al 0.1348 0.3652 0.5000
Al2 Al 0.3652 0.8652 0.5000
Al3 Al 0.6348 0.1348 0.5000
Al4 Al 0.8652 0.6348 0.5000
Hg1 Hg 0.1519 0.6519 0.0000
Hg2 Hg 0.3481 0.1519 0.0000
Hg3 Hg 0.6519 0.8481 0.0000
Hg4 Hg 0.8481 0.3481 0.0000
# Space group: P4/mbm, No. 127
# Formation enthalpy at 0 K, meV per atom: 150
# Calculated density, g/cm3: 7.044

5.
# Tb2Tm3Mg2, relaxed, DFT PBE
data_Tb2Tm3Mg2
_symmetry_space_group_name_H-M 'P 1'
_symmetry_Int_Tables_number 1
_cell_length_a 16.7070
_cell_length_b 16.7070
_cell_length_c 3.4930
_cell_angle_alpha 90.00
_cell_angle_beta 90.00
_cell_angle_gamma 167.90
loop_
_symmetry_equiv_pos_as_xyz
'x,y,z'
loop_
_atom_site_label
_atom_site_type_symbol
_atom_site_fract_x
_atom_site_fract_y
_atom_site_fract_z
Tb1 Tb 0.2047 0.7953 0.0000
Tb2 Tb 0.7953 0.2047 0.0000
Tm1 Tm 0.0724 0.9276 0.0000
Tm2 Tm 0.5000 0.5000 0.5000
Tm3 Tm 0.9276 0.0724 0.0000
Mg1 Mg 0.3621 0.6379 0.5000
Mg2 Mg 0.6379 0.3621 0.5000
# Space group: Cmmm, No. 65
# Formation enthalpy at 0 K, meV per atom: 55
# Calculated density, g/cm3: 7.095

6.
# Ce4ThSi4, relaxed, DFT PBE
data_Ce4ThSi4
_symmetry_space_group_name_H-M 'P 1'
_symmetry_Int_Tables_number 1
_cell_length_a 8.7961
_cell_length_b 8.7961
_cell_length_c 6.0207
_cell_angle_alpha 90.00
_cell_angle_beta 90.00
_cell_angle_gamma 90.00
loop_
_symmetry_equiv_pos_as_xyz
'x,y,z'
loop_
_atom_site_label
_atom_site_type_symbol
_atom_site_fract_x
_atom_site_fract_y
_atom_site_fract_z
Ce1 Ce 0.0576 0.6381 0.0910
Ce2 Ce 0.1381 0.9424 0.5910
Ce3 Ce 0.3619 0.5576 0.5910
Ce4 Ce 0.4424 0.8619 0.0910
Ce5 Ce 0.5576 0.1381 0.9090
Ce6 Ce 0.6381 0.4424 0.4090
Ce7 Ce 0.8619 0.0576 0.4090
Ce8 Ce 0.9424 0.3619 0.9090
Th1 Th 0.2500 0.2500 0.2500
Th2 Th 0.7500 0.7500 0.7500
Si1 Si 0.0336 0.6173 0.5933
Si2 Si 0.1173 0.9664 0.0933
Si3 Si 0.3827 0.5336 0.0933
Si4 Si 0.4664 0.8827 0.5933
Si5 Si 0.5336 0.1173 0.4067
Si6 Si 0.6173 0.4664 0.9067
Si7 Si 0.8827 0.0336 0.9067
Si8 Si 0.9664 0.3827 0.4067
# Space group: P4_2/n, No. 86
# Calculated density, g/cm3: 6.451

7.
# Co2RePt, relaxed, DFT PBE
data_Co2RePt
_symmetry_space_group_name_H-M 'P 1'
_symmetry_Int_Tables_number 1
_cell_length_a 4.6183
_cell_length_b 4.6183
_cell_length_c 4.6183
_cell_angle_alpha 133.19
_cell_angle_beta 133.19
_cell_angle_gamma 68.36
loop_
_symmetry_equiv_pos_as_xyz
'x,y,z'
loop_
_atom_site_label
_atom_site_type_symbol
_atom_site_fract_x
_atom_site_fract_y
_atom_site_fract_z
Co1 Co 0.0000 0.0000 0.0000
Co2 Co 0.7500 0.2500 0.5000
Re1 Re 0.2500 0.7500 0.5000
Pt1 Pt 0.5000 0.5000 0.0000
# Space group: I-4m2, No. 119
# Formation enthalpy at 0 K, meV per atom: 7
# Calculated density, g/cm3: 16.114

8.
# Ca6SeN3, relaxed, DFT PBE
data_Ca6SeN3
_symmetry_space_group_name_H-M 'P 1'
_symmetry_Int_Tables_number 1
_cell_length_a 10.0162
_cell_length_b 3.6864
_cell_length_c 11.4251
_cell_angle_alpha 90.00
_cell_angle_beta 102.34
_cell_angle_gamma 90.00
loop_
_symmetry_equiv_pos_as_xyz
'x,y,z'
loop_
_atom_site_label
_atom_site_type_symbol
_atom_site_fract_x
_atom_site_fract_y
_atom_site_fract_z
Ca1 Ca 0.0087 0.2500 0.1165
Ca2 Ca 0.1006 0.7500 0.4449
Ca3 Ca 0.1835 0.2500 0.7548
Ca4 Ca 0.3012 0.2500 0.3067
Ca5 Ca 0.3114 0.7500 0.0235
Ca6 Ca 0.4222 0.2500 0.5856
Ca7 Ca 0.5778 0.7500 0.4144
Ca8 Ca 0.6886 0.2500 0.9765
Ca9 Ca 0.6988 0.7500 0.6933
Ca10 Ca 0.8165 0.7500 0.2452
Ca11 Ca 0.8994 0.2500 0.5551
Ca12 Ca 0.9913 0.7500 0.8835
Se1 Se 0.4554 0.7500 0.8078
Se2 Se 0.5446 0.2500 0.1922
N1 N 0.0368 0.7500 0.6536
N2 N 0.1519 0.2500 0.9552
N3 N 0.3481 0.7500 0.4435
N4 N 0.6519 0.2500 0.5565
N5 N 0.8481 0.7500 0.0448
N6 N 0.9632 0.2500 0.3464
# Space group: P2_1/m, No. 11
# Calculated density, g/cm3: 2.913

9.
# YGa2Pt3, relaxed, DFT PBE
data_YGa2Pt3
_symmetry_space_group_name_H-M 'P 1'
_symmetry_Int_Tables_number 1
_cell_length_a 4.4135
_cell_length_b 4.4135
_cell_length_c 12.4362
_cell_angle_alpha 90.00
_cell_angle_beta 90.00
_cell_angle_gamma 120.00
loop_
_symmetry_equiv_pos_as_xyz
'x,y,z'
loop_
_atom_site_label
_atom_site_type_symbol
_atom_site_fract_x
_atom_site_fract_y
_atom_site_fract_z
Y1 Y 0.0000 0.0000 0.2500
Y2 Y 0.0000 0.0000 0.7500
Ga1 Ga 0.3333 0.6667 0.0863
Ga2 Ga 0.3333 0.6667 0.4137
Ga3 Ga 0.6667 0.3333 0.5863
Ga4 Ga 0.6667 0.3333 0.9137
Pt1 Pt 0.0000 0.0000 0.0000
Pt2 Pt 0.0000 0.0000 0.5000
Pt3 Pt 0.3333 0.6667 0.6249
Pt4 Pt 0.3333 0.6667 0.8751
Pt5 Pt 0.6667 0.3333 0.1249
Pt6 Pt 0.6667 0.3333 0.3751
# Space group: P6_3/mmc, No. 194
# Formation enthalpy at 0 K, meV per atom: -965
# Calculated density, g/cm3: 12.880

10.
# Sn2HCl5, relaxed, DFT PBE
data_Sn2HCl5
_symmetry_space_group_name_H-M 'P 1'
_symmetry_Int_Tables_number 1
_cell_length_a 7.5711
_cell_length_b 7.5711
_cell_length_c 14.7534
_cell_angle_alpha 99.82
_cell_angle_beta 99.82
_cell_angle_gamma 44.18
loop_
_symmetry_equiv_pos_as_xyz
'x,y,z'
loop_
_atom_site_label
_atom_site_type_symbol
_atom_site_fract_x
_atom_site_fract_y
_atom_site_fract_z
Sn1 Sn 0.1449 0.1449 0.4342
Sn2 Sn 0.1565 0.1565 0.0563
Sn3 Sn 0.8435 0.8435 0.9437
Sn4 Sn 0.8551 0.8551 0.5658
H1 H 0.0684 0.0684 0.7615
H2 H 0.9316 0.9316 0.2385
Cl1 Cl 0.0405 0.0405 0.8972
Cl2 Cl 0.0806 0.0806 0.6751
Cl3 Cl 0.2003 0.2003 0.2863
Cl4 Cl 0.3130 0.3130 0.9614
Cl5 Cl 0.3280 0.3280 0.5347
Cl6 Cl 0.6720 0.6720 0.4653
Cl7 Cl 0.6869 0.6869 0.0386
Cl8 Cl 0.7997 0.7997 0.7137
Cl9 Cl 0.9194 0.9194 0.3249
Cl10 Cl 0.9595 0.9595 0.1028
# Space group: C2/m, No. 12
# Calculated density, g/cm3: 2.383

11.
# Sm6Si2CBr3, relaxed, DFT PBE
data_Sm6Si2CBr3
_symmetry_space_group_name_H-M 'P 1'
_symmetry_Int_Tables_number 1
_cell_length_a 7.0680
_cell_length_b 7.0680
_cell_length_c 7.6744
_cell_angle_alpha 98.83
_cell_angle_beta 98.83
_cell_angle_gamma 119.94
loop_
_symmetry_equiv_pos_as_xyz
'x,y,z'
loop_
_atom_site_label
_atom_site_type_symbol
_atom_site_fract_x
_atom_site_fract_y
_atom_site_fract_z
Sm1 Sm 0.0654 0.3711 0.1962
Sm2 Sm 0.2400 0.2400 0.8031
Sm3 Sm 0.3711 0.0654 0.1962
Sm4 Sm 0.6289 0.9346 0.8038
Sm5 Sm 0.7600 0.7600 0.1969
Sm6 Sm 0.9346 0.6289 0.8038
Si1 Si 0.3334 0.6666 0.0000
Si2 Si 0.6666 0.3334 0.0000
C1 C 0.0000 0.0000 0.0000
Br1 Br 0.1694 0.8306 0.5000
Br2 Br 0.5000 0.5000 0.5000
Br3 Br 0.8306 0.1694 0.5000
# Space group: C2/m, No. 12
# Calculated density, g/cm3: 6.355

12.
# Be2TlAg, relaxed, DFT PBE
data_Be2TlAg
_symmetry_space_group_name_H-M 'P 1'
_symmetry_Int_Tables_number 1
_cell_length_a 3.2640
_cell_length_b 3.9048
_cell_length_c 5.1126
_cell_angle_alpha 90.00
_cell_angle_beta 90.00
_cell_angle_gamma 90.00
loop_
_symmetry_equiv_pos_as_xyz
'x,y,z'
loop_
_atom_site_label
_atom_site_type_symbol
_atom_site_fract_x
_atom_site_fract_y
_atom_site_fract_z
Be1 Be 0.0000 0.0000 0.0000
Be2 Be 0.5000 0.0000 0.5000
Tl1 Tl 0.0000 0.5000 0.5000
Ag1 Ag 0.5000 0.5000 0.0000
# Space group: Pmmm, No. 47
# Formation enthalpy at 0 K, meV per atom: 678
# Calculated density, g/cm3: 8.416

Number 1: DOS(E_F) 5.6 states/eV/cell, electronic total energy -5.144 eV per atom. Number 2: DOS(E_F) 14.5 states/eV/cell, electronic total energy -5.987 eV per atom. Number 3: DOS(E_F) 2.9 states/eV/cell, electronic total energy -6.209 eV per atom. Number 4: DOS(E_F) 3.6 states/eV/cell, electronic total energy -1.661 eV per atom. Number 5: DOS(E_F) 9.4 states/eV/cell, electronic total energy -3.640 eV per atom. Number 6: DOS(E_F) 38.5 states/eV/cell, electronic total energy -6.202 eV per atom. Number 7: DOS(E_F) 4.9 states/eV/cell, electronic total energy -8.168 eV per atom. Number 8: DOS(E_F) 3.1 states/eV/cell, electronic total energy -4.998 eV per atom. Number 9: DOS(E_F) 3.6 states/eV/cell, electronic total energy -6.071 eV per atom. Number 10: DOS(E_F) 0.0 states/eV/cell, electronic total energy -3.430 eV per atom. Number 11: DOS(E_F) 5.3 states/eV/cell, electronic total energy -5.439 eV per atom. Number 12: DOS(E_F) 0.8 states/eV/cell, electronic total energy -2.489 eV per atom.